Nd5Sm6Er2 | GGA-PBE | optimized geometry

Structure (POSCAR):
```
Nd5Sm6Er2
1.0
11.772 0.000 0.000
0.000 20.840 0.000
0.000 0.000 3.639
Nd Sm Er
10 12 4
Cartesian
0.000 0.000 0.000 Nd
1.014 5.694 0.000 Nd
2.326 11.540 0.000 Nd
3.560 1.120 0.000 Nd
4.871 16.115 0.000 Nd
5.886 10.420 0.000 Nd
6.900 4.726 0.000 Nd
8.212 19.720 0.000 Nd
9.445 9.300 0.000 Nd
10.757 15.146 0.000 Nd
0.737 8.738 1.819 Sm
0.966 2.752 1.819 Sm
2.049 17.949 0.000 Sm
3.836 7.528 0.000 Sm
4.920 13.173 1.819 Sm
5.149 19.158 1.819 Sm
6.622 1.683 1.819 Sm
6.851 7.668 1.819 Sm
7.935 13.312 0.000 Sm
9.722 2.892 0.000 Sm
10.806 18.088 1.819 Sm
11.035 12.103 1.819 Sm
2.002 14.812 1.819 Er
3.884 4.391 1.819 Er
7.888 16.449 1.819 Er
9.769 6.029 1.819 Er
```

Output
- energy relative to the elements (eV/atom) = 0.092
- SG = Pbam (55)
- D(E_F) (states/eV per cell) = 31.29
- E (eV per atom) = -4.622